Arrangement A

# ZrTlH3

Crystalline ZrTlH3 at its relaxed geometry (GGA-PBE, Alexandria via LeMat-Bulk).

## Properties
Crystal system: cubic

Cell and atoms, written as CIF:
```
data_ZrTlH3
_space_group_name_H-M_alt 'P m -3 m'
_space_group_IT_number 221
_space_group_name_Hall '-P 4 2 3'
_cell_length_a 3.966
_cell_length_b 3.966
_cell_length_c 3.966
_cell_angle_alpha 90.00
_cell_angle_beta 90.00
_cell_angle_gamma 90.00
loop_
_atom_site_label
_atom_site_type_symbol
_atom_site_fract_x
_atom_site_fract_y
_atom_site_fract_z
Zr1 Zr 0.000 0.000 0.000
Tl1 Tl 0.500 0.500 0.500
H1 H 0.000 0.000 0.500
```

---

Arrangement B

# ZrTlH3

Crystalline ZrTlH3 at its relaxed geometry (GGA-PBE, Alexandria via LeMat-Bulk).

## Properties
Crystal system: cubic

Cell and atoms, written as CIF:
```
data_ZrTlH3
_space_group_name_H-M_alt 'P m -3 m'
_space_group_IT_number 221
_space_group_name_Hall '-P 4 2 3'
_cell_length_a 3.918
_cell_length_b 3.918
_cell_length_c 3.918
_cell_angle_alpha 90.00
_cell_angle_beta 90.00
_cell_angle_gamma 90.00
loop_
_atom_site_label
_atom_site_type_symbol
_atom_site_fract_x
_atom_site_fract_y
_atom_site_fract_z
Zr1 Zr 0.000 0.000 0.000
Tl1 Tl 0.500 0.500 0.500
H1 H 0.000 0.500 0.500
```

---

Tell me which of them is the least stable. Sure, it is arrangement B.

---

Arrangement A

# Zr4Tl2H

Crystalline Zr4Tl2H at its relaxed geometry (GGA-PBE, Alexandria via LeMat-Bulk).

## Properties
Crystal system: orthorhombic

Cell and atoms, written as CIF:
```
data_Zr4Tl2H
_space_group_name_H-M_alt 'C m m m'
_space_group_IT_number 65
_space_group_name_Hall '-C 2 2'
_cell_length_a 4.616
_cell_length_b 14.268
_cell_length_c 4.176
_cell_angle_alpha 90.00
_cell_angle_beta 90.00
_cell_angle_gamma 90.00
loop_
_atom_site_label
_atom_site_type_symbol
_atom_site_fract_x
_atom_site_fract_y
_atom_site_fract_z
Zr1 Zr 0.000 0.000 0.000
Zr2 Zr 0.000 0.170 0.500
Zr3 Zr 0.000 0.500 0.500
Tl1 Tl 0.000 0.342 0.000
H1 H 0.000 0.000 0.500
```

---

Arrangement B

# Zr4Tl2H

Crystalline Zr4Tl2H at its relaxed geometry (GGA-PBE, Alexandria via LeMat-Bulk).

## Properties
Crystal system: monoclinic

Cell and atoms, written as CIF:
```
data_Zr4Tl2H
_space_group_name_H-M_alt 'P 1 21/m 1'
_space_group_IT_number 11
_cell_length_a 5.509
_cell_length_b 6.089
_cell_length_c 8.555
_cell_angle_alpha 90.00
_cell_angle_beta 98.87
_cell_angle_gamma 90.00
loop_
_space_group_symop_operation_xyz
'x,y,z'
'-x,-y,-z'
'-x,y+1/2,-z'
'x,-y+1/2,z'
loop_
_atom_site_label
_atom_site_type_symbol
_atom_site_fract_x
_atom_site_fract_y
_atom_site_fract_z
Zr1 Zr 0.163 0.250 0.064
Zr2 Zr 0.204 0.750 0.358
Zr3 Zr 0.299 0.507 0.720
Tl1 Tl 0.233 0.250 0.410
Tl2 Tl 0.350 0.750 0.039
H1 H 0.110 0.250 0.810
```

---

Tell me which of them is the least stable. Sure, it is arrangement B.

---

Arrangement A

# YTmH2

Crystalline YTmH2 at its relaxed geometry (GGA-PBE, Alexandria via LeMat-Bulk).

## Properties
Crystal system: trigonal

Cell and atoms, written as CIF:
```
data_YTmH2
_space_group_name_H-M_alt 'R -3 m'
_space_group_IT_number 166
_space_group_name_Hall '-R 3 2"'
_cell_length_a 3.6234
_cell_length_b 3.6234
_cell_length_c 17.5017
_cell_angle_alpha 90.00
_cell_angle_beta 90.00
_cell_angle_gamma 120.00
loop_
_atom_site_label
_atom_site_type_symbol
_atom_site_fract_x
_atom_site_fract_y
_atom_site_fract_z
Y1 Y 0.0000 0.0000 0.0000
Tm1 Tm 0.0000 0.0000 0.5000
H1 H 0.0000 0.0000 0.3754
```

---

Arrangement B

# YTmH2

Crystalline YTmH2 at its relaxed geometry (GGA-PBE, Alexandria via LeMat-Bulk).

## Properties
Crystal system: trigonal

Cell and atoms, written as CIF:
```
data_YTmH2
_space_group_name_H-M_alt 'R 3 m'
_space_group_IT_number 160
_space_group_name_Hall 'R 3 -2"'
_cell_length_a 3.4638
_cell_length_b 3.4638
_cell_length_c 17.4187
_cell_angle_alpha 90.00
_cell_angle_beta 90.00
_cell_angle_gamma 120.00
loop_
_atom_site_label
_atom_site_type_symbol
_atom_site_fract_x
_atom_site_fract_y
_atom_site_fract_z
Y1 Y 0.0000 0.0000 0.0000
Tm1 Tm 0.0000 0.0000 0.8195
H1 H 0.0000 0.0000 0.2308
H2 H 0.0000 0.0000 0.4135
```

---

Tell me which of them is the least stable. Sure, it is arrangement B.

---

Arrangement A

# TmZnH

Crystalline TmZnH at its relaxed geometry (GGA-PBE, Alexandria via LeMat-Bulk).

## Properties
Crystal system: orthorhombic

Cell and atoms, written as CIF:
```
data_TmZnH
_space_group_name_H-M_alt 'C m c m'
_space_group_IT_number 63
_space_group_name_Hall '-C 2c 2'
_cell_length_a 3.710
_cell_length_b 11.805
_cell_length_c 4.129
_cell_angle_alpha 90.00
_cell_angle_beta 90.00
_cell_angle_gamma 90.00
loop_
_atom_site_label
_atom_site_type_symbol
_atom_site_fract_x
_atom_site_fract_y
_atom_site_fract_z
Tm1 Tm 0.000 0.161 0.250
Zn1 Zn 0.000 0.443 0.250
H1 H 0.000 0.240 0.750
```

---

Arrangement B

# TmZnH

Crystalline TmZnH at its relaxed geometry (GGA-PBE, Alexandria via LeMat-Bulk).

## Properties
Crystal system: tetragonal

Cell and atoms, written as CIF:
```
data_TmZnH
_space_group_name_H-M_alt 'I 4 m m'
_space_group_IT_number 107
_space_group_name_Hall 'I 4 -2'
_cell_length_a 3.142
_cell_length_b 3.142
_cell_length_c 10.348
_cell_angle_alpha 90.00
_cell_angle_beta 90.00
_cell_angle_gamma 90.00
loop_
_atom_site_label
_atom_site_type_symbol
_atom_site_fract_x
_atom_site_fract_y
_atom_site_fract_z
Tm1 Tm 0.000 0.000 0.000
Zn1 Zn 0.000 0.000 0.296
H1 H 0.000 0.000 0.551
```

---

Tell me which of them is the least stable. Sure, it is arrangement B.

---

Arrangement A

# Tm2ZrH

Crystalline Tm2ZrH at its relaxed geometry (GGA-PBE, Alexandria via LeMat-Bulk).

## Properties
Crystal system: tetragonal

Cell and atoms, written as CIF:
```
data_Tm2ZrH
_space_group_name_H-M_alt 'P 4/m m m'
_space_group_IT_number 123
_space_group_name_Hall '-P 4 2'
_cell_length_a 3.225
_cell_length_b 3.225
_cell_length_c 7.973
_cell_angle_alpha 90.00
_cell_angle_beta 90.00
_cell_angle_gamma 90.00
loop_
_atom_site_label
_atom_site_type_symbol
_atom_site_fract_x
_atom_site_fract_y
_atom_site_fract_z
Tm1 Tm 0.000 0.000 0.205
Zr1 Zr 0.500 0.500 0.500
H1 H 0.500 0.500 0.000
```

---

Arrangement B

# Tm2ZrH

Crystalline Tm2ZrH at its relaxed geometry (GGA-PBE, Alexandria via LeMat-Bulk).

## Properties
Crystal system: trigonal

Cell and atoms, written as CIF:
```
data_Tm2ZrH
_space_group_name_H-M_alt 'R -3 m'
_space_group_IT_number 166
_space_group_name_Hall '-R 3 2"'
_cell_length_a 3.2967
_cell_length_b 3.2967
_cell_length_c 26.9218
_cell_angle_alpha 90.00
_cell_angle_beta 90.00
_cell_angle_gamma 120.00
loop_
_atom_site_label
_atom_site_type_symbol
_atom_site_fract_x
_atom_site_fract_y
_atom_site_fract_z
Tm1 Tm 0.0000 0.0000 0.1168
Zr1 Zr 0.0000 0.0000 0.0000
H1 H 0.0000 0.0000 0.5000
```

---

Tell me which of them is the least stable. Sure, it is arrangement A.

---

Arrangement A

# TmZrH

Crystalline TmZrH at its relaxed geometry (GGA-PBE, Alexandria via LeMat-Bulk).

## Properties
Crystal system: tetragonal

Cell and atoms, written as CIF:
```
data_TmZrH
_space_group_name_H-M_alt 'I 4/m m m'
_space_group_IT_number 139
_space_group_name_Hall '-I 4 2'
_cell_length_a 4.524
_cell_length_b 4.524
_cell_length_c 31.078
_cell_angle_alpha 90.00
_cell_angle_beta 90.00
_cell_angle_gamma 90.00
loop_
_atom_site_label
_atom_site_type_symbol
_atom_site_fract_x
_atom_site_fract_y
_atom_site_fract_z
Tm1 Tm 0.000 0.000 0.080
Tm2 Tm 0.000 0.000 0.250
Tm3 Tm 0.000 0.000 0.418
Zr1 Zr 0.000 0.500 0.000
Zr2 Zr 0.000 0.500 0.172
H1 H 0.000 0.000 0.176
H2 H 0.000 0.500 0.067
```

---

Arrangement B

# TmZrH

Crystalline TmZrH at its relaxed geometry (GGA-PBE, Alexandria via LeMat-Bulk).

## Properties
Crystal system: trigonal

Cell and atoms, written as CIF:
```
data_TmZrH
_space_group_name_H-M_alt 'P 3 m 1'
_space_group_IT_number 156
_cell_length_a 3.3920
_cell_length_b 3.3920
_cell_length_c 5.3335
_cell_angle_alpha 90.00
_cell_angle_beta 90.00
_cell_angle_gamma 120.00
loop_
_space_group_symop_operation_xyz
'x,y,z'
'-y,x-y,z'
'-x+y,-x,z'
'-y,-x,z'
'-x+y,y,z'
'x,x-y,z'
loop_
_atom_site_label
_atom_site_type_symbol
_atom_site_fract_x
_atom_site_fract_y
_atom_site_fract_z
Tm1 Tm 0.0000 0.0000 0.0000
Zr1 Zr 0.6667 0.3333 0.4961
H1 H 0.3333 0.6667 0.7152
```

---

Tell me which of them is the least stable. Sure, it is arrangement B.